# 1
A plane-wave DFT calculation with PBE was carried out for W2Br after structural relaxation.

Geometry as CIF:
```
data_W2Br
_chemical_formula_sum 'W4 Br2'
_space_group_name_H-M_alt 'P 63/m m c'
_space_group_IT_number 194
_space_group_name_Hall '-P 6c 2c'
_cell_length_a 4.5572
_cell_length_b 4.5572
_cell_length_c 6.3696
_cell_angle_alpha 90.00
_cell_angle_beta 90.00
_cell_angle_gamma 120.00
loop_
_atom_site_label
_atom_site_type_symbol
_atom_site_fract_x
_atom_site_fract_y
_atom_site_fract_z
W1 W 0.3333 0.6667 0.0488
Br1 Br 0.0000 0.0000 0.2500
```

Values from the calculation:
As for the density: 13.0 g/cm³. Its density of states at the Fermi level is 6.4 states/eV per cell. The calculation puts the total energy at -46.4 eV per cell. The formation energy without anion corrections is 4.39 eV per formula unit.

=====

# 2
A plane-wave DFT calculation with PBE was carried out for WBr5 after structural relaxation.

Geometry as CIF:
```
data_WBr5
_chemical_formula_sum 'W4 Br20'
_space_group_name_H-M_alt 'F -4 3 m'
_space_group_IT_number 216
_space_group_name_Hall 'F -4 2 3'
_cell_length_a 8.618
_cell_length_b 8.618
_cell_length_c 8.618
_cell_angle_alpha 90.00
_cell_angle_beta 90.00
_cell_angle_gamma 90.00
loop_
_atom_site_label
_atom_site_type_symbol
_atom_site_fract_x
_atom_site_fract_y
_atom_site_fract_z
W1 W 0.000 0.000 0.000
Br1 Br 0.126 0.126 0.374
Br2 Br 0.250 0.250 0.750
```

Values from the calculation:
As for the density: 6.1 g/cm³. Its density of states at the Fermi level is 36.8 states/eV per cell. The calculation puts the total energy at -52.1 eV per cell. The formation energy without anion corrections is 8.28 eV per formula unit.

=====

# 3
A plane-wave DFT calculation with PBE was carried out for W2Br after structural relaxation.

Geometry as CIF:
```
data_W2Br
_chemical_formula_sum 'W8 Br4'
_space_group_name_H-M_alt 'C 1 2/m 1'
_space_group_IT_number 12
_space_group_name_Hall '-C 2y'
_cell_length_a 10.036
_cell_length_b 3.165
_cell_length_c 10.009
_cell_angle_alpha 90.00
_cell_angle_beta 92.81
_cell_angle_gamma 90.00
loop_
_atom_site_label
_atom_site_type_symbol
_atom_site_fract_x
_atom_site_fract_y
_atom_site_fract_z
W1 W 0.060 0.000 0.142
W2 W 0.143 0.500 0.963
Br1 Br 0.133 0.500 0.344
```

Values from the calculation:
As for the density: 9.4 g/cm³. Its density of states at the Fermi level is 5.7 states/eV per cell. The calculation puts the total energy at -105.7 eV per cell. The formation energy without anion corrections is 1.16 eV per formula unit.

=====

# 4
A plane-wave DFT calculation with PBE was carried out for YW2Br after structural relaxation.

Geometry as CIF:
```
data_YW2Br
_chemical_formula_sum 'Y3 W6 Br3'
_space_group_name_H-M_alt 'R 3 m'
_space_group_IT_number 160
_space_group_name_Hall 'R 3 -2"'
_cell_length_a 3.3934
_cell_length_b 3.3934
_cell_length_c 27.1821
_cell_angle_alpha 90.00
_cell_angle_beta 90.00
_cell_angle_gamma 120.00
loop_
_atom_site_label
_atom_site_type_symbol
_atom_site_fract_x
_atom_site_fract_y
_atom_site_fract_z
Y1 Y 0.0000 0.0000 0.0000
W1 W 0.0000 0.0000 0.2421
W2 W 0.0000 0.0000 0.5171
Br1 Br 0.0000 0.0000 0.7462
```

Values from the calculation:
As for the density: 9.9 g/cm³. Its density of states at the Fermi level is 10.9 states/eV per cell. The calculation puts the total energy at -98.9 eV per cell. The formation energy without anion corrections is 1.06 eV per formula unit.

=====

# 5
A plane-wave DFT calculation with PBE was carried out for YW2Br after structural relaxation.

Geometry as CIF:
```
data_YW2Br
_chemical_formula_sum 'Y1 W2 Br1'
_space_group_name_H-M_alt 'P 4 m m'
_space_group_IT_number 99
_space_group_name_Hall 'P 4 -2'
_cell_length_a 3.306
_cell_length_b 3.306
_cell_length_c 8.460
_cell_angle_alpha 90.00
_cell_angle_beta 90.00
_cell_angle_gamma 90.00
loop_
_atom_site_label
_atom_site_type_symbol
_atom_site_fract_x
_atom_site_fract_y
_atom_site_fract_z
Y1 Y 0.000 0.000 0.000
W1 W 0.000 0.000 0.609
W2 W 0.500 0.500 0.749
Br1 Br 0.500 0.500 0.234
```

Values from the calculation:
As for the density: 9.6 g/cm³. Its density of states at the Fermi level is 4.5 states/eV per cell. The calculation puts the total energy at -33.4 eV per cell. The formation energy without anion corrections is 0.60 eV per formula unit.

=====

# 6
A plane-wave DFT calculation with PBE was carried out for YW2Br after structural relaxation.

Geometry as CIF:
```
data_YW2Br
_chemical_formula_sum 'Y1 W2 Br1'
_space_group_name_H-M_alt 'P 4/m m m'
_space_group_IT_number 123
_space_group_name_Hall '-P 4 2'
_cell_length_a 3.834
_cell_length_b 3.834
_cell_length_c 5.438
_cell_angle_alpha 90.00
_cell_angle_beta 90.00
_cell_angle_gamma 90.00
loop_
_atom_site_label
_atom_site_type_symbol
_atom_site_fract_x
_atom_site_fract_y
_atom_site_fract_z
Y1 Y 0.000 0.000 0.000
W1 W 0.000 0.500 0.500
Br1 Br 0.500 0.500 0.000
```

Values from the calculation:
As for the density: 11.1 g/cm³. Its density of states at the Fermi level is 2.0 states/eV per cell. The calculation puts the total energy at -31.5 eV per cell. The formation energy without anion corrections is 2.51 eV per formula unit.

=====

# 7
A plane-wave DFT calculation with PBE was carried out for YW2Br after structural relaxation.

Geometry as CIF:
```
data_YW2Br
_chemical_formula_sum 'Y2 W4 Br2'
_space_group_name_H-M_alt 'C m m m'
_space_group_IT_number 65
_space_group_name_Hall '-C 2 2'
_cell_length_a 3.374
_cell_length_b 4.904
_cell_length_c 9.540
_cell_angle_alpha 90.00
_cell_angle_beta 90.00
_cell_angle_gamma 90.00
loop_
_atom_site_label
_atom_site_type_symbol
_atom_site_fract_x
_atom_site_fract_y
_atom_site_fract_z
Y1 Y 0.000 0.000 0.000
W1 W 0.000 0.500 0.263
Br1 Br 0.000 0.000 0.500
```

Values from the calculation:
As for the density: 11.3 g/cm³. Its density of states at the Fermi level is 7.0 states/eV per cell. The calculation puts the total energy at -59.6 eV per cell. The formation energy without anion corrections is 4.24 eV per formula unit.

=====

# 8
A plane-wave DFT calculation with PBE was carried out for YW2Br after structural relaxation.

Geometry as CIF:
```
data_YW2Br
_chemical_formula_sum 'Y2 W4 Br2'
_space_group_name_H-M_alt 'I m m m'
_space_group_IT_number 71
_space_group_name_Hall '-I 2 2'
_cell_length_a 3.180
_cell_length_b 4.532
_cell_length_c 10.955
_cell_angle_alpha 90.00
_cell_angle_beta 90.00
_cell_angle_gamma 90.00
loop_
_atom_site_label
_atom_site_type_symbol
_atom_site_fract_x
_atom_site_fract_y
_atom_site_fract_z
Y1 Y 0.000 0.000 0.000
W1 W 0.000 0.500 0.244
Br1 Br 0.000 0.000 0.500
```

Values from the calculation:
As for the density: 11.3 g/cm³. Its density of states at the Fermi level is 7.6 states/eV per cell. The calculation puts the total energy at -63.6 eV per cell. The formation energy without anion corrections is 2.26 eV per formula unit.

=====

# 9
A plane-wave DFT calculation with PBE was carried out for YW2Br after structural relaxation.

Geometry as CIF:
```
data_YW2Br
_chemical_formula_sum 'Y3 W6 Br3'
_space_group_name_H-M_alt 'R -3 m'
_space_group_IT_number 166
_space_group_name_Hall '-R 3 2"'
_cell_length_a 3.0735
_cell_length_b 3.0735
_cell_length_c 28.8882
_cell_angle_alpha 90.00
_cell_angle_beta 90.00
_cell_angle_gamma 120.00
loop_
_atom_site_label
_atom_site_type_symbol
_atom_site_fract_x
_atom_site_fract_y
_atom_site_fract_z
Y1 Y 0.0000 0.0000 0.0000
W1 W 0.0000 0.0000 0.2438
Br1 Br 0.0000 0.0000 0.5000
```

Values from the calculation:
As for the density: 11.3 g/cm³. Its density of states at the Fermi level is 10.6 states/eV per cell. The calculation puts the total energy at -90.0 eV per cell. The formation energy without anion corrections is 4.04 eV per formula unit.

=====

# 10
A plane-wave DFT calculation with PBE was carried out for YWBr2 after structural relaxation.

Geometry as CIF:
```
data_YWBr2
_chemical_formula_sum 'Y1 W1 Br2'
_space_group_name_H-M_alt 'P 4 m m'
_space_group_IT_number 99
_space_group_name_Hall 'P 4 -2'
_cell_length_a 3.315
_cell_length_b 3.315
_cell_length_c 9.092
_cell_angle_alpha 90.00
_cell_angle_beta 90.00
_cell_angle_gamma 90.00
loop_
_atom_site_label
_atom_site_type_symbol
_atom_site_fract_x
_atom_site_fract_y
_atom_site_fract_z
Y1 Y 0.000 0.000 0.000
W1 W 0.500 0.500 0.761
Br1 Br 0.000 0.000 0.609
Br2 Br 0.500 0.500 0.210
```

Values from the calculation:
As for the density: 7.2 g/cm³. Its density of states at the Fermi level is 3.8 states/eV per cell. The calculation puts the total energy at -23.3 eV per cell. The formation energy without anion corrections is -0.55 eV per formula unit.

=====

# 11
A plane-wave DFT calculation with PBE was carried out for YWBr2 after structural relaxation.

Geometry as CIF:
```
data_YWBr2
_chemical_formula_sum 'Y4 W4 Br8'
_space_group_name_H-M_alt 'F -4 3 m'
_space_group_IT_number 216
_space_group_name_Hall 'F -4 2 3'
_cell_length_a 7.444
_cell_length_b 7.444
_cell_length_c 7.444
_cell_angle_alpha 90.00
_cell_angle_beta 90.00
_cell_angle_gamma 90.00
loop_
_atom_site_label
_atom_site_type_symbol
_atom_site_fract_x
_atom_site_fract_y
_atom_site_fract_z
Y1 Y 0.000 0.000 0.000
W1 W 0.250 0.250 0.250
Br1 Br 0.000 0.000 0.500
Br2 Br 0.250 0.250 0.750
```

Values from the calculation:
As for the density: 7.0 g/cm³. Its density of states at the Fermi level is 9.2 states/eV per cell. The calculation puts the total energy at -80.2 eV per cell. The formation energy without anion corrections is 2.70 eV per formula unit.

=====

# 12
A plane-wave DFT calculation with PBE was carried out for YWBr2 after structural relaxation.

Geometry as CIF:
```
data_YWBr2
_chemical_formula_sum 'Y1 W1 Br2'
_space_group_name_H-M_alt 'P 4/m m m'
_space_group_IT_number 123
_space_group_name_Hall '-P 4 2'
_cell_length_a 4.738
_cell_length_b 4.738
_cell_length_c 3.594
_cell_angle_alpha 90.00
_cell_angle_beta 90.00
_cell_angle_gamma 90.00
loop_
_atom_site_label
_atom_site_type_symbol
_atom_site_fract_x
_atom_site_fract_y
_atom_site_fract_z
Y1 Y 0.000 0.000 0.000
W1 W 0.500 0.500 0.000
Br1 Br 0.000 0.500 0.500
```

Values from the calculation:
As for the density: 8.9 g/cm³. Its density of states at the Fermi level is 4.3 states/eV per cell. The calculation puts the total energy at -21.0 eV per cell. The formation energy without anion corrections is 1.77 eV per formula unit.

=====

no.,energy above the lowest structure with this stoichiometry (meV per atom)
1,1077
2,1819
3,0
4,182
5,66
6,543
7,976
8,481
9,925
10,0
11,814
12,581